First-principles (PBE-GGA) data for crystalline GaIr at its relaxed geometry, as listed in Alexandria.

total magnetic moment = 0.000 μB/cell
formation energy = -394 meV per atom

Structure (CIF):
```
data_GaIr
_chemical_formula_sum 'Ga1 Ir1'
_symmetry_space_group_name_H-M 'P 1'
_symmetry_Int_Tables_number 1
_cell_length_a 2.980
_cell_length_b 2.980
_cell_length_c 3.225
_cell_angle_alpha 90.00
_cell_angle_beta 90.00
_cell_angle_gamma 90.00
loop_
_symmetry_equiv_pos_as_xyz
'x,y,z'
loop_
_atom_site_label
_atom_site_type_symbol
_atom_site_fract_x
_atom_site_fract_y
_atom_site_fract_z
Ga1 Ga 0.000 0.000 0.500
Ir1 Ir 0.500 0.500 0.000
```

=====

First-principles (PBE-GGA) data for crystalline Ga2Ir at its relaxed geometry, as listed in Alexandria.

total magnetic moment = 0.000 μB/cell
formation energy = -446 meV per atom

Structure (CIF):
```
data_Ga2Ir
_chemical_formula_sum 'Ga12 Ir6'
_symmetry_space_group_name_H-M 'P 1'
_symmetry_Int_Tables_number 1
_cell_length_a 6.844
_cell_length_b 6.844
_cell_length_c 10.980
_cell_angle_alpha 90.00
_cell_angle_beta 90.00
_cell_angle_gamma 146.46
loop_
_symmetry_equiv_pos_as_xyz
'x,y,z'
loop_
_atom_site_label
_atom_site_type_symbol
_atom_site_fract_x
_atom_site_fract_y
_atom_site_fract_z
Ga1 Ga 0.559 0.441 0.606
Ga2 Ga 0.441 0.559 0.394
Ga3 Ga 0.441 0.559 0.106
Ga4 Ga 0.559 0.441 0.894
Ga5 Ga 0.179 0.821 0.517
Ga6 Ga 0.821 0.179 0.483
Ga7 Ga 0.767 0.233 0.750
Ga8 Ga 0.233 0.767 0.250
Ga9 Ga 0.960 0.040 0.750
Ga10 Ga 0.040 0.960 0.250
Ga11 Ga 0.179 0.821 0.983
Ga12 Ga 0.821 0.179 0.017
Ir1 Ir 0.360 0.640 0.622
Ir2 Ir 0.640 0.360 0.378
Ir3 Ir 0.640 0.360 0.122
Ir4 Ir 0.360 0.640 0.878
Ir5 Ir 0.850 0.150 0.250
Ir6 Ir 0.150 0.850 0.750
```

=====

First-principles (PBE-GGA) data for crystalline GaIr at its relaxed geometry, as listed in Alexandria.

total magnetic moment = 0.000 μB/cell
formation energy = -263 meV per atom

Structure (CIF):
```
data_GaIr
_chemical_formula_sum 'Ga6 Ir6'
_symmetry_space_group_name_H-M 'P 1'
_symmetry_Int_Tables_number 1
_cell_length_a 2.898
_cell_length_b 4.375
_cell_length_c 14.049
_cell_angle_alpha 90.00
_cell_angle_beta 90.00
_cell_angle_gamma 90.00
loop_
_symmetry_equiv_pos_as_xyz
'x,y,z'
loop_
_atom_site_label
_atom_site_type_symbol
_atom_site_fract_x
_atom_site_fract_y
_atom_site_fract_z
Ga1 Ga 0.000 0.601 0.663
Ga2 Ga 0.500 0.399 0.837
Ga3 Ga 0.500 0.399 0.163
Ga4 Ga 0.000 0.601 0.337
Ga5 Ga 0.000 0.167 0.000
Ga6 Ga 0.500 0.833 0.500
Ir1 Ir 0.000 0.897 0.828
Ir2 Ir 0.500 0.103 0.672
Ir3 Ir 0.500 0.103 0.328
Ir4 Ir 0.000 0.897 0.172
Ir5 Ir 0.000 0.328 0.500
Ir6 Ir 0.500 0.672 0.000
```

=====

First-principles (PBE-GGA) data for crystalline GaIr5 at its relaxed geometry, as listed in Alexandria.

total magnetic moment = 0.000 μB/cell
formation energy = -52 meV per atom

Structure (CIF):
```
data_GaIr5
_chemical_formula_sum 'Ga1 Ir5'
_symmetry_space_group_name_H-M 'P 1'
_symmetry_Int_Tables_number 1
_cell_length_a 3.845
_cell_length_b 3.891
_cell_length_c 6.173
_cell_angle_alpha 108.37
_cell_angle_beta 90.00
_cell_angle_gamma 90.00
loop_
_symmetry_equiv_pos_as_xyz
'x,y,z'
loop_
_atom_site_label
_atom_site_type_symbol
_atom_site_fract_x
_atom_site_fract_y
_atom_site_fract_z
Ir1 Ir 0.500 0.833 0.667
Ir2 Ir 0.000 0.671 0.343
Ir3 Ir 0.500 0.500 0.000
Ir4 Ir 0.000 0.329 0.657
Ir5 Ir 0.500 0.167 0.333
Ga1 Ga 0.000 0.000 0.000
```